# 1
This record from Alexandria describes LaCr3Mo at its PBEsol-relaxed geometry. The functional is SCAN.

Its total magnetization is 0.423 μB per atom. The formation energy comes out at 212.52 kJ/mol of atoms. The calculation puts the total energy at -24.43 eV/atom.

The space group is Pm-3m (No. 221) and the conventional cell measures 4.3557, 4.3557 and 4.3557 Å, with angles of 90.00, 90.00 and 90.00 degrees. The distinct sites, in fractional coordinates, are La at (0.0000, 0.0000, 0.0000), Cr at (0.0000, 0.0000, 0.5000) and Mo at (0.5000, 0.5000, 0.5000).



# 2
This record from Alexandria describes La2ZnRe at its PBEsol-relaxed geometry. The functional is SCAN.

Its total magnetization is 0.000 μB per atom. The formation energy comes out at 28.58 kJ/mol of atoms. The calculation puts the total energy at -42.41 eV/atom.

The space group is I-4m2 (No. 119) and the conventional cell measures 4.4548, 4.4548 and 8.6762 Å, with angles of 90.00, 90.00 and 90.00 degrees. The distinct sites, in fractional coordinates, are La at (0.0000, 0.0000, 0.0000), La at (0.0000, 0.5000, 0.2500), Zn at (0.0000, 0.5000, 0.7500) and Re at (0.0000, 0.0000, 0.5000).



# 3
This record from Alexandria describes KHg2Au at its PBEsol-relaxed geometry. The functional is SCAN.

Its total magnetization is 0.000 μB per atom. The formation energy comes out at -19.30 kJ/mol of atoms. The calculation puts the total energy at -53.65 eV/atom.

The space group is Imm2 (No. 44) and the conventional cell measures 4.2282, 4.9903 and 9.5998 Å, with angles of 90.00, 90.00 and 90.00 degrees. The distinct sites, in fractional coordinates, are K at (0.0000, 0.0000, 0.0000), Hg at (0.0000, 0.0000, 0.4673), Hg at (0.0000, 0.5000, 0.2280) and Au at (0.0000, 0.5000, 0.7627).



# 4
This record from Alexandria describes Hg2P at its PBEsol-relaxed geometry. The functional is SCAN.

Its total magnetization is 0.000 μB per atom. The formation energy comes out at 8.26 kJ/mol of atoms. The calculation puts the total energy at -48.82 eV/atom.

The space group is Cm (No. 8) and the conventional cell measures 15.4326, 3.1865 and 5.5722 Å, with angles of 90.00, 90.25 and 90.00 degrees. The distinct sites, in fractional coordinates, are Hg at (0.0000, 0.0000, 0.0000), Hg at (0.0000, 0.0000, 0.5001), Hg at (0.1668, 0.5000, 0.0014), Hg at (0.3332, 0.0000, 0.0022), P at (0.2017, 0.5000, 0.5015) and P at (0.2983, 0.0000, 0.5020).



# 5
This record from Alexandria describes ScSi3Ru at its PBEsol-relaxed geometry. The functional is SCAN.

Its total magnetization is 0.457 μB per atom. The uncorrected formation energy is 1.640 eV/atom. The calculation puts the total energy at -14.18 eV/atom.

The space group is Pm-3m (No. 221) and the conventional cell measures 4.6757, 4.6757 and 4.6757 Å, with angles of 90.00, 90.00 and 90.00 degrees. The distinct sites, in fractional coordinates, are Sc at (0.0000, 0.0000, 0.0000), Si at (0.0000, 0.0000, 0.5000) and Ru at (0.5000, 0.5000, 0.5000).



# 6
This record from Alexandria describes BaTc2Te at its PBEsol-relaxed geometry. The functional is SCAN.

Its total magnetization is 0.487 μB per atom. The uncorrected formation energy is 1.105 eV/atom. The calculation puts the total energy at -35.63 eV/atom.

The space group is C2/m (No. 12) and the conventional cell measures 6.4054, 9.2051 and 3.1567 Å, with angles of 90.00, 118.35 and 90.00 degrees. The distinct sites, in fractional coordinates, are Ba at (0.0000, 0.0000, 0.0000), Tc at (0.2500, 0.2500, 0.0000) and Te at (0.0000, 0.5000, 0.0000).